Record 1
First-principles (GGA-PBE) data for crystalline MgNiSb at its relaxed geometry, as listed in OQMD.

Cell lengths 7.0169, 7.0169, 3.7740 Å; angles 90.00, 90.00, 120.00 degrees
Space group P-62m (No. 189)
Symmetry-distinct sites (fractional):
1 Mg 0.0000 0.6084 0.0000
2 Ni 0.0000 0.0000 0.0000
3 Ni 0.3333 0.6667 0.5000
4 Sb 0.0000 0.2762 0.5000

The calculation puts the total energy at -36.40 eV for the cell shown.


Record 2
First-principles (GGA-PBE) data for crystalline GdHo2In3Ni2Au at its relaxed geometry, as listed in OQMD.

Cell lengths 3.917, 13.046, 7.534 Å; angles 90.00, 90.00, 90.00 degrees
Space group Amm2 (No. 38)
Symmetry-distinct sites (fractional):
1 Gd 0.000 0.000 0.000
2 Ho 0.000 0.205 0.613
3 In 0.500 0.000 0.681
4 In 0.500 0.137 0.273
5 Ni 0.500 0.168 0.909
6 Au 0.000 0.000 0.411

The calculation puts the total energy at -82.81 eV for the cell shown.


Record 3
First-principles (GGA-PBE) data for crystalline Nb3Fe at its relaxed geometry, as listed in OQMD.

Cell lengths 3.827, 3.827, 9.137 Å; angles 90.00, 90.00, 90.00 degrees
Space group I4/mmm (No. 139)
Symmetry-distinct sites (fractional):
1 Nb 0.000 0.000 0.000
2 Nb 0.000 0.500 0.250
3 Fe 0.000 0.000 0.500

The value obtained for the formation energy is 0.207 eV/atom.


Record 4
First-principles (GGA-PBE) data for crystalline NaDyHg6 at its relaxed geometry, as listed in OQMD.

Cell lengths 6.6453, 6.6453, 5.1073 Å; angles 90.00, 90.00, 120.00 degrees
Space group P-6m2 (No. 187)
Symmetry-distinct sites (fractional):
1 Na 0.0000 0.0000 0.0000
2 Dy 0.6667 0.3333 0.5000
3 Hg 0.0009 0.5005 0.0000
4 Hg 0.1668 0.3336 0.5000

The calculation puts the total energy at -9.79 eV for the cell shown.


Record 5
First-principles (GGA-PBE) data for crystalline BaNaTmTe3 at its relaxed geometry, as listed in OQMD.

Cell lengths 9.123, 4.624, 10.322 Å; angles 90.00, 106.88, 90.00 degrees
Space group P2_1/m (No. 11)
Symmetry-distinct sites (fractional):
1 Ba 0.222 0.250 0.254
2 Na 0.090 0.250 0.590
3 Tm 0.320 0.750 0.846
4 Te 0.102 0.250 0.878
5 Te 0.268 0.750 0.534
6 Te 0.454 0.750 0.152

Its offset from the most stable computed form is 0.00 kcal/mol of atoms.


Record 6
First-principles (GGA-PBE) data for crystalline HgIrSO at its relaxed geometry, as listed in OQMD.

Cell lengths 6.115, 7.747, 5.848 Å; angles 90.00, 90.00, 90.00 degrees
Space group Pca2_1 (No. 29)
Symmetry-distinct sites (fractional):
1 Hg 0.019 0.146 0.000
2 Ir 0.087 0.669 0.088
3 S 0.102 0.556 0.729
4 O 0.102 0.138 0.464

Its offset from the most stable computed form is 4.12 kcal/mol of atoms.


Record 7
First-principles (GGA-PBE) data for crystalline DyHo2Co2B2As3 at its relaxed geometry, as listed in OQMD.

Cell lengths 3.914, 3.914, 22.681 Å; angles 90.00, 90.00, 90.00 degrees
Space group I4/mmm (No. 139)
Symmetry-distinct sites (fractional):
1 Dy 0.000 0.000 0.000
2 Ho 0.000 0.000 0.355
3 Co 0.000 0.500 0.250
4 B 0.000 0.000 0.218
5 As 0.000 0.000 0.125
6 As 0.000 0.000 0.500

The calculation puts the total energy at -125.77 eV for the cell shown.


Record 8
First-principles (GGA-PBE) data for crystalline ErScB4 at its relaxed geometry, as listed in OQMD.

Cell lengths 3.2033, 3.2033, 7.3221 Å; angles 90.00, 90.00, 120.00 degrees
Space group P6/mmm (No. 191)
Symmetry-distinct sites (fractional):
1 Er 0.0000 0.0000 0.0000
2 Sc 0.0000 0.0000 0.5000
3 B 0.3333 0.6667 0.2623

The calculation puts the total energy at -41.93 eV for the cell shown.